The following is a PBE-GGA calculation of a geometry-optimized RbGa3Hg10 structure, from Alexandria.

Cell: 10.4697 10.4697 10.4697 Å, 60.10 60.10 60.10°
With the nearest neighbours (Å) after each atom.
Fractional positions:
1 Rb 0.2500 0.2500 0.2500  4 Hg 3.56
2 Rb 0.7500 0.7500 0.7500  4 Hg 3.56
3 Ga 0.2644 0.7354 0.7354  8 Hg 2.88-2.97
4 Ga 0.2646 0.2646 0.7356  8 Hg 2.88-2.97
5 Ga 0.2646 0.7356 0.2646  8 Hg 2.88-2.97
6 Ga 0.7354 0.2644 0.7354  8 Hg 2.88-2.97
7 Ga 0.7354 0.7354 0.2644  8 Hg 2.88-2.97
8 Ga 0.7356 0.2646 0.2646  8 Hg 2.88-2.97
9 Hg 0.9998 0.9998 0.3399  2 Ga 2.88
10 Hg 0.0002 0.0002 0.6601  2 Ga 2.88
11 Hg 0.9998 0.3399 0.9998  2 Ga 2.88
12 Hg 0.0000 0.3405 0.6595  2 Ga 2.88
13 Hg 0.0002 0.6601 0.0002  2 Ga 2.88
14 Hg 0.0000 0.6595 0.3405  2 Ga 2.88
15 Hg 0.1655 0.6113 0.6113  3 Ga 2.97, 3 Hg 3.30-3.31
16 Hg 0.3399 0.9998 0.9998  2 Ga 2.88
17 Hg 0.3405 0.0000 0.6595  2 Ga 2.88
18 Hg 0.3405 0.6595 0.0000  2 Ga 2.88
19 Hg 0.3888 0.3888 0.3888  3 Ga 2.97, 3 Hg 3.30
20 Hg 0.3887 0.3887 0.8345  3 Ga 2.97, 3 Hg 3.30-3.31
21 Hg 0.3887 0.8345 0.3887  3 Ga 2.97, 3 Hg 3.30-3.31
22 Hg 0.6113 0.1655 0.6113  3 Ga 2.97, 3 Hg 3.30-3.31
23 Hg 0.6113 0.6113 0.1655  3 Ga 2.97, 3 Hg 3.30-3.31
24 Hg 0.6112 0.6112 0.6112  3 Ga 2.97, 3 Hg 3.30
25 Hg 0.6601 0.0002 0.0002  2 Ga 2.88
26 Hg 0.6595 0.0000 0.3405  2 Ga 2.88
27 Hg 0.6595 0.3405 0.0000  2 Ga 2.88
28 Hg 0.8345 0.3887 0.3887  3 Ga 2.97, 3 Hg 3.30-3.31

D(E_F): 0.413 states/eV/atom
E_tot: -26.4 eV for the cell shown

=====

The following is a PBE-GGA calculation of a geometry-optimized LaNd4Er2 structure, from Alexandria.

Cell: 6.6518 8.5803 9.0216 Å, 88.13 82.41 71.12°
With the nearest neighbours (Å) after each atom.
Fractional positions:
1 La 0.0000 0.0000 0.0000  8 Nd 3.52-3.83, 3 Er 3.64-3.77, 1 La 3.70
2 La 0.4048 0.2063 0.8844  3 Er 3.45-3.54, 4 Nd 3.52-3.76, 1 La 3.70
3 Nd 0.0185 0.5616 0.0518  2 Er 3.32-3.65, 5 Nd 3.37-3.68, 1 La 3.52
4 Nd 0.1355 0.2161 0.2934  4 Er 3.44-3.84, 4 Nd 3.56-3.85, 1 La 3.65
5 Nd 0.1764 0.7595 0.3406  4 Nd 3.34-3.68, 5 Er 3.34-3.60
6 Nd 0.4110 0.6362 0.8138  3 Er 3.34-3.56, 5 Nd 3.37-3.71, 2 La 3.69-3.73
7 Nd 0.5838 0.4068 0.1480  2 La 3.52-3.83, 3 Er 3.53-3.76, 7 Nd 3.55-3.91
8 Nd 0.7008 0.0544 0.3866  4 Nd 3.34-3.69, 4 Er 3.35-3.64
9 Nd 0.8649 0.7987 0.7136  4 Er 3.45-3.79, 1 La 3.52, 5 Nd 3.67-3.71
10 Nd 0.8743 0.3320 0.7096  1 Nd 3.37, 3 Er 3.45-3.58, 2 La 3.76-3.77
11 Er 0.3007 0.9804 0.6125  6 Nd 3.34-3.71, 1 La 3.45, 1 Er 3.65
12 Er 0.3365 0.4100 0.5376  6 Nd 3.37-3.68, 1 La 3.54, 1 Er 3.61
13 Er 0.5434 0.8526 0.0963  4 Nd 3.32-3.63, 3 La 3.46-3.65, 1 Er 3.58
14 Er 0.7121 0.6277 0.4239  9 Nd 3.45-3.84, 3 Er 3.58-3.65

D(E_F): 1.513 states/eV/atom
Energy above the lowest structure with this stoichiometry: 0 meV per atom

=====

The following is a PBE-GGA calculation of a geometry-optimized LiEuAlAu structure, from Alexandria.

Cell: 4.8994 4.8994 4.8994 Å, 60.00 60.00 60.00°
With the nearest neighbours (Å) after each atom.
Fractional positions:
1 Li 0.0000 0.0000 0.0000  4 Al 3.00, 4 Eu 3.00
2 Eu 0.2500 0.2500 0.2500  4 Li 3.00, 4 Au 3.00
3 Al 0.7500 0.7500 0.7500  4 Li 3.00, 4 Au 3.00
4 Au 0.5000 0.5000 0.5000  4 Al 3.00, 4 Eu 3.00

D(E_F): 2.943 states/eV/atom
E_tot: -20.8 eV for the cell shown